VASP calculation (GGA-PBE) on a geometry-optimized Y3Te2 structure.

Cell: 4.0941 4.0941 10.6846 Å, 90.00 90.00 120.00°
Space group P-3m1 (No. 164)
Symmetry-distinct sites (fractional):
Y 0.0000 0.0000 0.0000 [1 per cell]
Y 0.3333 0.6667 0.3718 [2 per cell]
Te 0.3333 0.6667 0.8182 [2 per cell]

Results
E_form (uncorrected)   -4.9 eV/f.u.

VASP calculation (GGA-PBE) on a geometry-optimized CsBa2TlBr8 structure.

Cell: 6.753 8.091 10.165 Å, 89.79 89.78 65.89°
Space group P-1 (No. 2)
Symmetry-distinct sites (fractional):
Cs 0.000 0.000 0.000 [1 per cell]
Ba 0.494 0.496 0.255 [2 per cell]
Tl 0.000 0.000 0.500 [1 per cell]
Br 0.018 0.240 0.303 [2 per cell]
Br 0.024 0.234 0.696 [2 per cell]
Br 0.420 0.295 0.997 [2 per cell]
Br 0.457 0.783 0.496 [2 per cell]

Results
E_form (uncorrected)   -18.1 eV/f.u.

VASP calculation (GGA-PBE) on a geometry-optimized Pm3Tl2BRh3 structure.

Cell: 7.7708 7.7708 3.6796 Å, 90.00 90.00 120.00°
Space group P-62m (No. 189)
Symmetry-distinct sites (fractional):
Pm 0.0000 0.3483 0.0000 [3 per cell]
Tl 0.3333 0.6667 0.5000 [2 per cell]
B 0.0000 0.0000 0.0000 [1 per cell]
Rh 0.0000 0.7966 0.5000 [3 per cell]

Results
Energy of formation from the pure elements   -0.3899 eV/atom

VASP calculation (GGA-PBE) on a geometry-optimized CsBa2TbI8 structure.

Cell: 7.707 7.950 10.696 Å, 90.02 90.06 90.11°
Space group P-1 (No. 2)
Symmetry-distinct sites (fractional):
Cs 0.000 0.000 0.000 [1 per cell]
Ba 0.500 0.500 0.255 [2 per cell]
Tb 0.000 0.000 0.500 [1 per cell]
I 0.232 0.851 0.299 [2 per cell]
I 0.232 0.851 0.701 [2 per cell]
I 0.236 0.321 0.500 [2 per cell]
I 0.255 0.397 0.000 [2 per cell]

Results
E_form (uncorrected)   -18.9 eV/f.u.

VASP calculation (GGA-PBE) on a geometry-optimized LiPmMg14 structure.

Cell: 6.863 6.863 8.022 Å, 90.00 90.00 90.00°
Space group P4/mmm (No. 123)
Symmetry-distinct sites (fractional):
Li 0.000 0.000 0.000 [1 per cell]
Pm 0.500 0.500 0.000 [1 per cell]
Mg 0.000 0.000 0.500 [1 per cell]
Mg 0.000 0.500 0.000 [2 per cell]
Mg 0.000 0.500 0.500 [2 per cell]
Mg 0.243 0.243 0.254 [8 per cell]
Mg 0.500 0.500 0.500 [1 per cell]

Results
Energy of formation from the pure elements   -0.0155 eV/atom

VASP calculation (GGA-PBE) on a geometry-optimized VH2Ir structure.

Cell: 4.113 4.113 8.161 Å, 90.00 90.00 90.00°
Space group I-42d (No. 122)
Symmetry-distinct sites (fractional):
V 0.000 0.000 0.000 [4 per cell]
H 0.246 0.250 0.125 [8 per cell]
Ir 0.000 0.000 0.500 [4 per cell]

Results
Energy relative to the lowest polymorph listed for this composition   0.000 eV/atom

VASP calculation (GGA-PBE) on a geometry-optimized NaYPaO4 structure.

Cell: 6.891 7.134 9.845 Å, 90.00 90.00 90.00°
Space group Imma (No. 74)
Symmetry-distinct sites (fractional):
Na 0.000 0.250 0.133 [4 per cell]
Y 0.250 0.250 0.750 [4 per cell]
Pa 0.000 0.000 0.500 [4 per cell]
O 0.000 0.036 0.727 [8 per cell]
O 0.211 0.250 0.515 [8 per cell]

Results
E_form (uncorrected)   -21.1 eV/f.u.

VASP calculation (GGA-PBE) on a geometry-optimized ZrTiMoAu structure.

Cell: 6.591 6.591 6.591 Å, 90.00 90.00 90.00°
Space group F-43m (No. 216)
Symmetry-distinct sites (fractional):
Zr 0.000 0.000 0.000 [4 per cell]
Ti 0.000 0.000 0.500 [4 per cell]
Mo 0.250 0.250 0.750 [4 per cell]
Au 0.250 0.250 0.250 [4 per cell]

Results
Energy of formation from the pure elements   -0.2137 eV/atom

VASP calculation (GGA-PBE) on a geometry-optimized TmPuMg2 structure.

Cell: 3.212 3.212 10.025 Å, 90.00 90.00 90.00°
Space group P4/mmm (No. 123)
Symmetry-distinct sites (fractional):
Tm 0.000 0.000 0.000 [1 per cell]
Pu 0.000 0.000 0.500 [1 per cell]
Mg 0.500 0.500 0.247 [2 per cell]

Results
Energy of formation from the pure elements   0.0839 eV/atom
Energy relative to the lowest polymorph listed for this composition   0.000 eV/atom

VASP calculation (GGA-PBE) on a geometry-optimized TbDy2HoTm2 structure.

Cell: 6.906 9.600 5.563 Å, 90.00 90.00 90.00°
Space group Pnnm (No. 58)
Symmetry-distinct sites (fractional):
Tb 0.000 0.000 0.000 [2 per cell]
Dy 0.249 0.334 0.000 [4 per cell]
Ho 0.000 0.500 0.500 [2 per cell]
Tm 0.250 0.167 0.500 [4 per cell]

Results
Energy of formation from the pure elements   0.0755 eV/atom

VASP calculation (GGA-PBE) on a geometry-optimized CoIrRu structure.

Cell: 2.686 3.700 7.915 Å, 90.00 90.00 90.00°
Space group Imm2 (No. 44)
Symmetry-distinct sites (fractional):
Co 0.000 0.000 0.000 [2 per cell]
Ir 0.000 0.000 0.666 [2 per cell]
Ru 0.000 0.000 0.337 [2 per cell]

Results
Energy of formation from the pure elements   0.0320 eV/atom
Energy relative to the lowest polymorph listed for this composition   0.005 eV/atom

VASP calculation (GGA-PBE) on a geometry-optimized LaAlAs2 structure.

Cell: 3.2123 3.2123 33.4009 Å, 90.00 90.00 120.00°
Space group R3m (No. 160, hexagonal axes)
Symmetry-distinct sites (fractional):
La 0.0000 0.0000 0.0000 [3 per cell]
Al 0.0000 0.0000 0.2469 [3 per cell]
As 0.0000 0.0000 0.5225 [3 per cell]
As 0.0000 0.0000 0.7435 [3 per cell]

Results
Energy of formation from the pure elements   0.1118 eV/atom

Number 1: total moment 0.0 Bohr magnetons per cell. Number 2: total moment 0.0 Bohr magnetons per cell. Number 3: total moment 0.0 Bohr magnetons per cell. Number 4: total moment 0.0 Bohr magnetons per cell. Number 5: total moment 0.0 Bohr magnetons per cell. Number 6: total moment 0.0 Bohr magnetons per cell. Number 7: total moment 4.1 Bohr magnetons per cell. Number 8: total moment 0.0 Bohr magnetons per cell. Number 9: total moment 5.9 Bohr magnetons per cell. Number 10: total moment 0.0 Bohr magnetons per cell. Number 11: total moment 1.9 Bohr magnetons per cell. Number 12: total moment 0.0 Bohr magnetons per cell.